A plane-wave DFT calculation with PBE-GGA was carried out for a relaxed Be4PRh crystal.

The structure in POSCAR format:
```
Be4PRh
1.0
0.000 3.079 3.079
3.079 0.000 3.079
3.079 3.079 0.000
P Be Rh
1 4 1
direct
0.250 0.250 0.250
0.627 0.120 0.627
0.120 0.627 0.627
0.627 0.627 0.120
0.627 0.627 0.627
0.000 0.000 0.000
```

Summary:
**ΔE_f**: -16.9 kJ/mol of atoms